Pr2NdSn3Pd3 | GGA-PBE | optimized geometry

## Properties
Its space group is Amm2 (38). The calculation puts the magnetization at 0.00 μB/f.u. As for the crystal system: orthorhombic. The electronic total energy comes out at -5.561 eV/atom.

Cell: 4.155 7.668 7.668 Å, 119.99 90.00 90.00°
Sites, in units of the cell vectors:
Pd1 0.500 0.665 0.334
Sn1 0.500 0.001 0.250
Nd1 0.000 0.411 0.411
Pr1 0.000 0.588 0.000
Pd2 0.500 0.334 0.665
Sn2 0.500 0.749 0.749
Pd3 0.000 0.001 0.001
Pr2 0.000 0.000 0.588
Sn3 0.500 0.250 0.001